This record from the Alexandria database describes crystalline RbSrNb3 at its relaxed geometry. The functional is GGA-PBE.

Values from the calculation:
Calculated formation energy = 2.49 eV per atom
Magnetic moment = 0.00 μB per atom
Electronic total energy = -20.432 eV per cell
N(E_F) = 1.109 states/eV per atom

Lattice parameters (Å, degrees): 5.0315 5.0315 5.0315 90.00 90.00 90.00
Element x y z (fractional)
Sr (0.5000, 0.5000, 0.5000)
Nb (0.0000, 0.5000, 0.0000)
Nb (0.0000, 0.0000, 0.5000)
Nb (0.5000, 0.0000, 0.0000)
Rb (0.0000, 0.0000, 0.0000)